1.
# PBE NaTl5SnPb2, relaxed
data_NaTl5SnPb2
_chemical_formula_sum 'Na2 Tl10 Sn2 Pb4'
_cell_length_a 5.0326
_cell_length_b 10.1485
_cell_length_c 11.5079
_cell_angle_alpha 90.00
_cell_angle_beta 90.00
_cell_angle_gamma 104.36
_symmetry_space_group_name_H-M 'P 1'
_symmetry_Int_Tables_number 1
_symmetry_space_group_name_Hall 'P 1'
loop_
_atom_site_label
_atom_site_type_symbol
_atom_site_fract_x
_atom_site_fract_y
_atom_site_fract_z
Na1 Na 0.2370 0.4741 0.9656
Na2 Na 0.7630 0.5259 0.4656
Pb1 Pb 0.1143 0.2286 0.7500
Pb2 Pb 0.8828 0.7656 0.8660
Pb3 Pb 0.8857 0.7714 0.2500
Pb4 Pb 0.1172 0.2344 0.3660
Tl1 Tl 0.5976 0.1952 0.5476
Tl2 Tl 0.0315 0.0631 0.0543
Tl3 Tl 0.9685 0.9369 0.5543
Tl4 Tl 0.6758 0.3516 0.1860
Tl5 Tl 0.3242 0.6484 0.6860
Tl6 Tl 0.5144 0.0288 0.2699
Tl7 Tl 0.2717 0.5434 0.2486
Tl8 Tl 0.4024 0.8048 0.0476
Tl9 Tl 0.4856 0.9712 0.7699
Tl10 Tl 0.7283 0.4566 0.7486
Sn1 Sn 0.3867 0.7733 0.4360
Sn2 Sn 0.6133 0.2267 0.9360
# Total energy (Ha/atom): -0.100
# SG: No. 36


2.
# PBE NaTlSnPb2, relaxed
data_NaTlSnPb2
_chemical_formula_sum 'Na2 Tl2 Sn2 Pb4'
_cell_length_a 6.7624
_cell_length_b 6.8035
_cell_length_c 8.1935
_cell_angle_alpha 114.53
_cell_angle_beta 90.00
_cell_angle_gamma 90.00
_symmetry_space_group_name_H-M 'P 1'
_symmetry_Int_Tables_number 1
_symmetry_space_group_name_Hall 'P 1'
loop_
_atom_site_label
_atom_site_type_symbol
_atom_site_fract_x
_atom_site_fract_y
_atom_site_fract_z
Sn1 Sn 0.7500 0.1429 0.2858
Sn2 Sn 0.2500 0.8571 0.7142
Na1 Na 0.7500 0.7489 0.4978
Na2 Na 0.2500 0.2511 0.5022
Pb1 Pb 0.5000 0.7517 0.0000
Pb2 Pb 0.0000 0.2483 0.0000
Pb3 Pb 0.0000 0.7517 0.0000
Pb4 Pb 0.5000 0.2483 0.0000
Tl1 Tl 0.2500 0.6520 0.3041
Tl2 Tl 0.7500 0.3480 0.6959
# Total energy (Ha/atom): -0.110
# SG: No. 63


3.
# PBE NaTl3SnPb, relaxed
data_NaTl3SnPb
_chemical_formula_sum 'Na2 Tl6 Sn2 Pb2'
_cell_length_a 3.3838
_cell_length_b 9.5377
_cell_length_c 11.2090
_cell_angle_alpha 90.00
_cell_angle_beta 90.00
_cell_angle_gamma 100.22
_symmetry_space_group_name_H-M 'P 1'
_symmetry_Int_Tables_number 1
_symmetry_space_group_name_Hall 'P 1'
loop_
_atom_site_label
_atom_site_type_symbol
_atom_site_fract_x
_atom_site_fract_y
_atom_site_fract_z
Pb1 Pb 0.7596 0.5193 0.7500
Pb2 Pb 0.2404 0.4807 0.2500
Na1 Na 0.4386 0.8772 0.7500
Na2 Na 0.5614 0.1228 0.2500
Tl1 Tl 0.9025 0.8050 0.2500
Tl2 Tl 0.3379 0.6759 0.5063
Tl3 Tl 0.0975 0.1950 0.7500
Tl4 Tl 0.3379 0.6759 0.9937
Tl5 Tl 0.6621 0.3241 0.0063
Tl6 Tl 0.6621 0.3241 0.4937
Sn1 Sn 0.0000 0.0000 0.0000
Sn2 Sn 0.0000 0.0000 0.5000
# Total energy (Ha/atom): -0.100
# SG: No. 63


4.
# PBE NaYSnPb, relaxed
data_NaYSnPb
_chemical_formula_sum 'Na1 Y1 Sn1 Pb1'
_cell_length_a 5.3909
_cell_length_b 5.3909
_cell_length_c 5.3909
_cell_angle_alpha 60.00
_cell_angle_beta 60.00
_cell_angle_gamma 60.00
_symmetry_space_group_name_H-M 'P 1'
_symmetry_Int_Tables_number 1
_symmetry_space_group_name_Hall 'P 1'
loop_
_atom_site_label
_atom_site_type_symbol
_atom_site_fract_x
_atom_site_fract_y
_atom_site_fract_z
Pb1 Pb 0.2500 0.2500 0.2500
Na1 Na 0.5000 0.5000 0.5000
Y1 Y 0.0000 0.0000 0.0000
Sn1 Sn 0.7500 0.7500 0.7500
# Total energy (Ha/atom): -0.153
# SG: No. 216